PBE Ac2CoSi5, optimized geometry; space-group type = I4mm, No. 107; VASP energy = -5.6464 eV per atom; uncorrected formation energy = -2.7 eV per formula unit
1.0
-2.969 2.969 4.797
2.969 -2.969 4.797
2.969 2.969 -4.797
Ac Co Si
2 1 5
direct
0.000 0.500 0.500
0.500 0.000 0.500
0.183 0.183 0.000
0.527 0.527 0.566
0.527 0.962 0.000
0.931 0.931 0.000
0.962 0.527 0.000
0.962 0.962 0.434

***

PBE NiPW2, optimized geometry; space-group type = C2/m, No. 12; formation energy = 207 meV/atom; VASP energy = -9.0676 eV per atom
1.0
4.308 -1.540 0.000
4.308 1.540 0.000
-0.755 0.000 4.296
Ni P W
1 1 2
direct
0.000 0.000 0.000
0.500 0.500 0.500
0.255 0.255 0.757
0.745 0.745 0.243

***

PBE MgCu2Rh2, optimized geometry; space-group type = P4/mbm, No. 127; formation energy = 20 meV/atom; VASP energy = -4.8784 eV per atom; E above lowest polymorph = 30 meV per atom
1.0
7.074 0.000 0.000
0.000 7.074 0.000
0.000 0.000 2.956
Mg Cu Rh
2 4 4
direct
0.000 0.000 0.000
0.500 0.500 0.000
0.164 0.336 0.500
0.336 0.836 0.500
0.664 0.164 0.500
0.836 0.664 0.500
0.134 0.634 0.000
0.366 0.134 0.000
0.634 0.866 0.000
0.866 0.366 0.000

***

PBE Er8AsP3Se4, optimized geometry; space-group type = R-3m, No. 166; VASP energy = -6.1946 eV per atom; uncorrected formation energy = -27.8 eV per formula unit
1.0
4.003 2.311 6.633
-4.003 2.311 6.633
0.000 -4.622 6.633
Er As P Se
8 1 3 4
direct
0.238 0.746 0.746
0.242 0.242 0.242
0.254 0.254 0.762
0.254 0.762 0.254
0.746 0.238 0.746
0.746 0.746 0.238
0.758 0.758 0.758
0.762 0.254 0.254
0.500 0.500 0.500
0.000 0.000 0.500
0.000 0.500 0.000
0.500 0.000 0.000
0.000 0.000 0.000
0.000 0.500 0.500
0.500 0.000 0.500
0.500 0.500 0.000

***

PBE InAuSe3, optimized geometry; space-group type = Pm-3m, No. 221; VASP energy = -2.9579 eV per atom; E above lowest polymorph = 0 meV per atom; uncorrected formation energy = 1.7 eV per formula unit
1.0
5.161 0.000 0.000
0.000 5.161 0.000
0.000 0.000 5.161
In Au Se
1 1 3
direct
0.000 0.000 0.000
0.500 0.500 0.500
0.000 0.500 0.500
0.500 0.000 0.500
0.500 0.500 0.000

***

PBE Tb3Sm5Dy4, optimized geometry; space-group type = P-1, No. 2; formation energy = 14 meV/atom; VASP energy = -4.6437 eV per atom; E above lowest polymorph = 0 meV per atom
1.0
6.202 0.000 0.000
-0.015 7.162 0.000
-0.016 -0.010 8.768
Tb Sm Dy
3 5 4
direct
0.000 0.000 0.000
0.166 0.749 0.666
0.834 0.251 0.334
0.000 0.500 0.000
0.332 0.000 0.335
0.500 0.251 0.000
0.500 0.749 0.000
0.668 0.000 0.665
0.166 0.251 0.666
0.334 0.500 0.335
0.666 0.500 0.665
0.834 0.749 0.334

***

PBE NaTlAgCl5, optimized geometry; space-group type = C2/c, No. 15; VASP energy = -2.8280 eV per atom; uncorrected formation energy = -6.9 eV per formula unit
1.0
5.123 -5.560 0.000
5.123 5.560 0.000
-4.649 0.000 8.888
Na Tl Ag Cl
2 2 2 10
direct
0.000 0.000 0.000
0.000 0.000 0.500
0.344 0.656 0.750
0.656 0.344 0.250
0.322 0.678 0.250
0.678 0.322 0.750
0.081 0.646 0.843
0.103 0.897 0.250
0.337 0.337 0.068
0.337 0.337 0.568
0.354 0.919 0.657
0.646 0.081 0.343
0.663 0.663 0.432
0.663 0.663 0.932
0.897 0.103 0.750
0.919 0.354 0.157

***

PBE PuMgS2, optimized geometry; space-group type = R3m, No. 160; VASP energy = -7.4839 eV per atom; E above lowest polymorph = 108 meV per atom; uncorrected formation energy = -5.8 eV per formula unit
1.0
1.879 1.085 6.695
-1.879 1.085 6.695
0.000 -2.170 6.695
Pu Mg S
1 1 2
direct
0.000 0.000 0.000
0.831 0.831 0.831
0.241 0.241 0.241
0.427 0.427 0.427

***

PBE SrMgTa4N8, optimized geometry; space-group type = R3m, No. 160; VASP energy = -9.3208 eV per atom; uncorrected formation energy = -13.2 eV per formula unit
1.0
3.183 1.838 5.365
-3.183 1.838 5.365
0.000 -3.675 5.365
Sr Mg Ta N
1 1 4 8
direct
0.000 0.000 0.000
0.375 0.375 0.375
0.368 0.368 0.894
0.368 0.894 0.368
0.748 0.748 0.748
0.894 0.368 0.368
0.126 0.624 0.624
0.132 0.132 0.558
0.132 0.558 0.132
0.143 0.143 0.143
0.558 0.132 0.132
0.615 0.615 0.615
0.624 0.126 0.624
0.624 0.624 0.126

***

PBE LaFeCl, optimized geometry; space-group type = F-43m, No. 216; VASP energy = -4.9972 eV per atom; uncorrected formation energy = 0.2 eV per formula unit
1.0
0.000 3.241 3.241
3.241 0.000 3.241
3.241 3.241 0.000
La Fe Cl
1 1 1
direct
0.000 0.000 0.000
0.250 0.250 0.250
0.500 0.500 0.500

***

PBE Li3La2Au2, optimized geometry; space-group type = C2/m, No. 12; formation energy = -479 meV/atom; VASP energy = -3.6438 eV per atom
1.0
5.371 -2.179 0.000
5.371 2.179 0.000
-3.000 0.000 7.019
Li La Au
3 2 2
direct
0.000 0.000 0.000
0.146 0.146 0.435
0.854 0.854 0.565
0.363 0.363 0.226
0.637 0.637 0.774
0.352 0.352 0.799
0.648 0.648 0.201

***

PBE Ca2LuPd, optimized geometry; space-group type = R-3m, No. 166; formation energy = -137 meV/atom; VASP energy = -3.5667 eV per atom
1.0
1.869 1.079 10.052
-1.869 1.079 10.052
0.000 -2.159 10.052
Ca Lu Pd
2 1 1
direct
0.229 0.229 0.229
0.771 0.771 0.771
0.000 0.000 0.000
0.500 0.500 0.500

***

PBE Na2LiCaCl5, optimized geometry; space-group type = Cmc2_1, No. 36; VASP energy = -3.7273 eV per atom; uncorrected formation energy = -17.8 eV per formula unit
1.0
2.006 -8.687 0.000
2.006 8.687 0.000
0.000 0.000 13.156
Na Li Ca Cl
4 2 2 10
direct
0.056 0.944 0.500
0.115 0.885 0.201
0.885 0.115 0.701
0.944 0.056 0.000
0.423 0.577 0.271
0.577 0.423 0.771
0.222 0.778 0.900
0.778 0.222 0.400
0.066 0.934 0.867
0.283 0.717 0.256
0.287 0.713 0.539
0.377 0.623 0.873
0.498 0.502 0.629
0.502 0.498 0.129
0.623 0.377 0.373
0.713 0.287 0.039
0.717 0.283 0.756
0.934 0.066 0.367

***

PBE LaMn2Al, optimized geometry; space-group type = I4_1/amd, No. 141; formation energy = 392 meV/atom; VASP energy = -6.3600 eV per atom
1.0
-2.237 2.237 8.797
2.237 -2.237 8.797
2.237 2.237 -8.797
La Mn Al
2 4 2
direct
0.375 0.625 0.750
0.625 0.375 0.250
0.000 0.000 0.000
0.000 0.000 0.500
0.000 0.500 0.000
0.500 0.000 0.500
0.125 0.875 0.250
0.875 0.125 0.750

***

PBE ZrCdSb4, optimized geometry; space-group type = F-43m, No. 216; VASP energy = -3.9682 eV per atom; uncorrected formation energy = 2.1 eV per formula unit
1.0
0.000 4.346 4.346
4.346 0.000 4.346
4.346 4.346 0.000
Zr Cd Sb
1 1 4
direct
0.000 0.000 0.000
0.750 0.750 0.750
0.375 0.375 0.375
0.375 0.375 0.876
0.375 0.876 0.375
0.876 0.375 0.375

***

PBE ErPaVN4, optimized geometry; space-group type = P2_1/m, No. 11; VASP energy = -9.3437 eV per atom; uncorrected formation energy = -8.9 eV per formula unit
1.0
5.594 0.000 0.000
0.000 5.605 0.000
-2.086 0.000 6.182
Er Pa V N
2 2 2 8
direct
0.178 0.250 0.034
0.822 0.750 0.966
0.261 0.250 0.563
0.739 0.750 0.437
0.276 0.750 0.815
0.724 0.250 0.185
0.040 0.509 0.742
0.040 0.991 0.742
0.465 0.750 0.097
0.476 0.750 0.641
0.524 0.250 0.359
0.535 0.250 0.903
0.960 0.009 0.258
0.960 0.491 0.258

***

PBE SrLaTiNb2, optimized geometry; space-group type = P4/mmm, No. 123; formation energy = 1838 meV/atom; VASP energy = -5.0907 eV per atom
1.0
5.126 0.000 0.000
0.000 5.126 0.000
0.000 0.000 5.051
Sr La Ti Nb
1 1 1 2
direct
0.000 0.000 0.000
0.500 0.500 0.500
0.000 0.000 0.500
0.000 0.500 0.000
0.500 0.000 0.000

***

PBE Ca2YPaS6, optimized geometry; space-group type = R3, No. 146; VASP energy = -6.3724 eV per atom; uncorrected formation energy = -19.0 eV per formula unit
1.0
3.497 2.019 6.177
-3.497 2.019 6.177
0.000 -4.038 6.177
Ca Y Pa S
2 1 1 6
direct
0.000 0.000 0.000
0.496 0.496 0.496
0.293 0.293 0.293
0.797 0.797 0.797
0.068 0.427 0.674
0.170 0.912 0.582
0.427 0.674 0.068
0.582 0.170 0.912
0.674 0.068 0.427
0.912 0.582 0.170

***

PBE LaPuTe2, optimized geometry; space-group type = C2/m, No. 12; VASP energy = -7.7332 eV per atom; E above lowest polymorph = 0 meV per atom; uncorrected formation energy = -5.4 eV per formula unit
1.0
3.891 -2.244 0.000
3.891 2.244 0.000
-2.584 0.000 7.426
La Pu Te
1 1 2
direct
0.000 0.000 0.000
0.500 0.500 0.500
0.246 0.246 0.739
0.754 0.754 0.261

***

PBE La3Y4Er, optimized geometry; space-group type = Pmmn, No. 59; formation energy = 18 meV/atom; VASP energy = -5.6318 eV per atom; E above lowest polymorph = 0 meV per atom
1.0
7.256 0.000 0.000
0.000 10.284 0.000
0.000 0.000 7.218
La Y Er
6 8 2
direct
0.000 0.000 0.000
0.000 0.500 0.000
0.250 0.250 0.256
0.500 0.000 0.000
0.500 0.500 0.000
0.750 0.750 0.744
0.000 0.000 0.500
0.000 0.500 0.500
0.250 0.750 0.254
0.250 0.750 0.745
0.500 0.000 0.500
0.500 0.500 0.500
0.750 0.250 0.255
0.750 0.250 0.746
0.250 0.250 0.748
0.750 0.750 0.252

***

PBE CsKNa, optimized geometry; space-group type = F-43m, No. 216; formation energy = 84 meV/atom; VASP energy = -1.0056 eV per atom; E above lowest polymorph = 70 meV per atom
1.0
0.000 4.970 4.970
4.970 0.000 4.970
4.970 4.970 0.000
Cs K Na
1 1 1
direct
0.000 0.000 0.000
0.500 0.500 0.500
0.250 0.250 0.250

***

PBE LiAlC, optimized geometry; space-group type = P1, No. 1; formation energy = 198 meV/atom; VASP energy = -4.7616 eV per atom
1.0
3.265 0.000 0.000
-1.621 4.267 0.000
-0.010 -0.470 4.860
Li Al C
2 2 2
direct
0.000 0.000 0.000
0.398 0.795 0.361
0.267 0.531 0.814
0.666 0.332 0.367
0.043 0.088 0.556
0.878 0.751 0.613

***

PBE NaSrZn2Au2, optimized geometry; space-group type = P-3m1, No. 164; formation energy = -445 meV/atom; VASP energy = -2.4621 eV per atom
1.0
4.637 0.000 0.000
-2.319 4.016 0.000
0.000 0.000 7.227
Na Sr Zn Au
1 1 2 2
direct
0.000 0.000 0.000
0.000 0.000 0.500
0.333 0.667 0.811
0.667 0.333 0.189
0.333 0.667 0.214
0.667 0.333 0.786